(1)
A plane-wave DFT calculation with GGA-PBE was carried out for SrLiTlCd after structural relaxation.

Structure (CIF):
```
data_SrLiTlCd
_space_group_name_H-M_alt 'I m m a'
_space_group_IT_number 74
_space_group_name_Hall '-I 2b 2'
_cell_length_a 7.5670
_cell_length_b 7.8583
_cell_length_c 7.5073
_cell_angle_alpha 90.00
_cell_angle_beta 90.00
_cell_angle_gamma 90.00
loop_
_atom_site_label
_atom_site_fract_x
_atom_site_fract_y
_atom_site_fract_z
Sr1 0.0000 0.0000 0.0000
Li1 0.0000 0.0000 0.5000
Tl1 0.2499 0.2499 0.2502
Cd1 0.2500 0.2500 0.7500
```


(2)
A plane-wave DFT calculation with GGA-PBE was carried out for Tl2Pd3O2 after structural relaxation.

Structure (CIF):
```
data_Tl2Pd3O2
_space_group_name_H-M_alt 'R -3 m'
_space_group_IT_number 166
_space_group_name_Hall '-R 3 2"'
_cell_length_a 5.8540
_cell_length_b 5.8540
_cell_length_c 13.3568
_cell_angle_alpha 90.00
_cell_angle_beta 90.00
_cell_angle_gamma 120.00
loop_
_atom_site_label
_atom_site_fract_x
_atom_site_fract_y
_atom_site_fract_z
Tl1 0.0000 0.0000 0.0000
Tl2 0.0000 0.0000 0.5000
Pd1 0.0000 0.5000 0.0000
O1 0.0000 0.0000 0.2438
```


(3)
A plane-wave DFT calculation with GGA-PBE was carried out for ZrBeNiHg after structural relaxation.

Structure (CIF):
```
data_ZrBeNiHg
_space_group_name_H-M_alt 'F -4 3 m'
_space_group_IT_number 216
_space_group_name_Hall 'F -4 2 3'
_cell_length_a 6.3622
_cell_length_b 6.3622
_cell_length_c 6.3622
_cell_angle_alpha 90.00
_cell_angle_beta 90.00
_cell_angle_gamma 90.00
loop_
_atom_site_label
_atom_site_fract_x
_atom_site_fract_y
_atom_site_fract_z
Zr1 0.0000 0.0000 0.0000
Be1 0.0000 0.0000 0.5000
Ni1 0.2500 0.2500 0.7500
Hg1 0.2500 0.2500 0.2500
```


For the records above, the corresponding VASP energy values read -1.896; -4.615; -4.497 eV/atom.